First-principles (PBE) data for a relaxed Li2HfHg crystal, as listed in Alexandria via LeMat-Bulk.

- energy relative to the elements (eV per formula unit) = 0.585

Cell lengths 3.0195, 3.0195, 31.7480 Å; angles 90.00, 90.00, 120.00 degrees
Space group R-3m (No. 166, hexagonal axes)
One atom of each set of equivalent atoms:
Li1 0.0000 0.0000 0.0908 (multiplicity 6)
Hf1 0.0000 0.0000 0.0000 (multiplicity 3)
Hg1 0.0000 0.0000 0.5000 (multiplicity 3)